[1]
Compound: Zn4Hg
Source: the Alexandria database
Functional: GGA-PBEsol
Structure: optimized geometry

Results
M_tot   0.0 Bohr magnetons per cell
DOS(E_F)   1.33 states/eV/cell
Formation enthalpy at 0 K   0.09 eV/atom
Raw total energy   -6.5 eV per cell

Cell lengths 2.9535, 2.9535, 10.8407 Å; angles 82.17, 82.17, 60.00 degrees
Last column: nearest neighbours and their distance in Å.
Fractional positions:
Zn 0.5942 0.5942 0.2173  3 Zn 2.64, 3 Hg 2.88
Zn 0.8017 0.8017 0.5948  6 Zn 2.64-2.65
Zn 0.1983 0.1983 0.4052  6 Zn 2.64-2.65
Zn 0.4058 0.4058 0.7827  3 Zn 2.64, 3 Hg 2.88
Hg 0.0000 0.0000 0.0000  6 Zn 2.88, 6 Hg 2.95

[2]
Compound: Sr2LiZn2
Source: the Alexandria database
Functional: GGA-PBEsol
Structure: optimized geometry

Results
M_tot   0.0 Bohr magnetons per cell
DOS(E_F)   8.06 states/eV/cell
Formation enthalpy at 0 K   -0.09 eV/atom
Raw total energy   -18.5 eV per cell

Cell lengths 4.4491, 8.0806, 8.0806 Å; angles 90.00, 90.00, 90.00 degrees
Last column: nearest neighbours and their distance in Å.
Fractional positions:
Sr 0.5000 0.6799 0.8201  6 Zn 3.25-3.29
Sr 0.5000 0.3201 0.1799  6 Zn 3.25-3.29
Sr 0.5000 0.1799 0.6799  6 Zn 3.25-3.29
Sr 0.5000 0.8201 0.3201  6 Zn 3.25-3.29
Li 0.0000 0.0000 0.0000  4 Zn 3.26
Li 0.0000 0.5000 0.5000  4 Zn 3.26
Zn 0.0000 0.3868 0.8868  1 Zn 2.59
Zn 0.0000 0.1132 0.3868  1 Zn 2.59
Zn 0.0000 0.8868 0.6132  1 Zn 2.59
Zn 0.0000 0.6132 0.1132  1 Zn 2.59

[3]
Compound: Na3LiZr
Source: the Alexandria database
Functional: GGA-PBEsol
Structure: optimized geometry

Results
M_tot   4.0 Bohr magnetons per cell
DOS(E_F)   9.83 states/eV/cell
Formation enthalpy at 0 K   1.18 eV/atom
Raw total energy   -9.3 eV per cell

Cell lengths 6.1036, 6.1036, 6.1036 Å; angles 90.00, 90.00, 90.00 degrees
Last column: nearest neighbours and their distance in Å.
Fractional positions:
Na 0.0000 0.5000 0.0000  2 Zr 3.05
Na 0.5000 0.0000 0.0000  2 Zr 3.05
Na 0.0000 0.0000 0.5000  2 Zr 3.05
Li 0.5000 0.5000 0.5000  12 Na 4.32
Zr 0.0000 0.0000 0.0000  6 Na 3.05

[4]
Compound: HfN2O2
Source: the Alexandria database
Functional: GGA-PBEsol
Structure: optimized geometry

Results
M_tot   6.0 Bohr magnetons per cell
ΔE_f (raw)   631 meV/atom
DOS(E_F)   2.74 states/eV/cell
Raw total energy   -34.9 eV per cell

Cell lengths 4.0133, 4.2736, 4.2736 Å; angles 90.00, 90.00, 90.00 degrees
Last column: nearest neighbours and their distance in Å.
Fractional positions:
O 0.5000 0.0000 0.0000  2 Hf 2.01
O 0.5000 0.5000 0.5000  8 N 2.93, 4 O 3.02
N 0.0000 0.5000 0.0000  2 Hf 2.14
N 0.0000 0.0000 0.5000  2 Hf 2.14
Hf 0.0000 0.0000 0.0000  2 O 2.01, 4 N 2.14

[5]
Compound: HfUN2
Source: the Alexandria database
Functional: GGA-PBEsol
Structure: optimized geometry

Results
M_tot   0.8 Bohr magnetons per cell
ΔE_f (raw)   -1745 meV/atom
DOS(E_F)   4.09 states/eV/cell
Raw total energy   -46.7 eV per cell

Cell lengths 3.1915, 3.1915, 5.9047 Å; angles 74.32, 74.32, 60.00 degrees
Last column: nearest neighbours and their distance in Å.
Fractional positions:
N 0.2413 0.2413 0.2760  3 Hf 2.23, 3 U 2.41
N 0.7587 0.7587 0.7240  3 Hf 2.23, 3 U 2.41
U 0.0000 0.0000 0.0000  6 N 2.41
Hf 0.5000 0.5000 0.5000  6 N 2.23

[6]
Compound: K2LiPdF6
Source: the Alexandria database
Functional: GGA-PBEsol
Structure: optimized geometry

Results
M_tot   1.0 Bohr magnetons per cell
ΔE_f (raw)   -2284 meV/atom
DOS(E_F)   4.37 states/eV/cell
Raw total energy   -44.6 eV per cell

Cell lengths 5.7135, 5.7135, 5.7135 Å; angles 60.00, 60.00, 60.00 degrees
Last column: nearest neighbours and their distance in Å.
Fractional positions:
F 0.7498 0.2502 0.7498  1 Li 2.02, 1 Pd 2.02
F 0.7498 0.7498 0.2502  1 Li 2.02, 1 Pd 2.02
F 0.7498 0.2502 0.2502  1 Li 2.02, 1 Pd 2.02
F 0.2502 0.2502 0.7498  1 Li 2.02, 1 Pd 2.02
F 0.2502 0.7498 0.2502  1 Li 2.02, 1 Pd 2.02
F 0.2502 0.7498 0.7498  1 Li 2.02, 1 Pd 2.02
K 0.7500 0.7500 0.7500  12 F 2.86
K 0.2500 0.2500 0.2500  12 F 2.86
Pd 0.0000 0.0000 0.0000  6 F 2.02
Li 0.5000 0.5000 0.5000  6 F 2.02

[7]
Compound: MnCu2Ag
Source: the Alexandria database
Functional: GGA-PBEsol
Structure: optimized geometry

Results
M_tot   3.0 Bohr magnetons per cell
DOS(E_F)   2.53 states/eV/cell
Formation enthalpy at 0 K   0.26 eV/atom
Raw total energy   -20.7 eV per cell

Cell lengths 2.6520, 2.6520, 8.7015 Å; angles 81.23, 81.23, 60.00 degrees
Last column: nearest neighbours and their distance in Å.
Fractional positions:
Cu 0.2457 0.2457 0.2629  3 Mn 2.54, 6 Cu 2.65, 3 Ag 2.72
Cu 0.7543 0.7543 0.7371  3 Mn 2.54, 6 Cu 2.65, 3 Ag 2.72
Mn 0.5000 0.5000 0.5000  6 Cu 2.54, 6 Mn 2.65
Ag 0.0000 0.0000 0.0000  6 Ag 2.65, 6 Cu 2.72

[8]
Compound: HfTl3As
Source: the Alexandria database
Functional: GGA-PBEsol
Structure: optimized geometry

Results
M_tot   0.0 Bohr magnetons per cell
DOS(E_F)   5.54 states/eV/cell
Formation enthalpy at 0 K   0.98 eV/atom
Raw total energy   -18.6 eV per cell

Cell lengths 5.2930, 5.2930, 5.2930 Å; angles 90.00, 90.00, 90.00 degrees
Last column: nearest neighbours and their distance in Å.
Fractional positions:
Tl 0.0000 0.5000 0.0000  2 As 2.65
Tl 0.0000 0.0000 0.5000  2 As 2.65
Tl 0.5000 0.0000 0.0000  2 As 2.65
As 0.0000 0.0000 0.0000  6 Tl 2.65
Hf 0.5000 0.5000 0.5000  12 Tl 3.74

[9]
Compound: MnCr
Source: the Alexandria database
Functional: GGA-PBEsol
Structure: optimized geometry

Results
M_tot   0.7 Bohr magnetons per cell
DOS(E_F)   2.91 states/eV/cell
Formation enthalpy at 0 K   0.08 eV/atom
Raw total energy   -19.8 eV per cell

Cell lengths 2.4224, 2.4224, 3.9109 Å; angles 90.00, 90.00, 109.97 degrees
Last column: nearest neighbours and their distance in Å.
Fractional positions:
Cr 0.0000 0.0000 0.0000  4 Mn 2.40, 4 Cr 2.42
Mn 0.5000 0.5000 0.5000  4 Cr 2.40, 4 Mn 2.42

[10]
Compound: Ba2SbIr
Source: the Alexandria database
Functional: GGA-PBEsol
Structure: optimized geometry

Results
M_tot   0.0 Bohr magnetons per cell
ΔE_f (raw)   -144 meV/atom
DOS(E_F)   2.22 states/eV/cell
Raw total energy   -19.3 eV per cell

Cell lengths 3.6251, 4.4464, 7.3067 Å; angles 90.00, 90.02, 90.00 degrees
Last column: nearest neighbours and their distance in Å.
Fractional positions:
Ba 0.0003 0.0000 0.7715  4 Ir 3.32, 3 Ba 3.34-3.63, 4 Sb 3.49
Ba 0.9997 0.0000 0.2285  4 Ir 3.32, 3 Ba 3.34-3.63, 4 Sb 3.49
Sb 0.5000 0.5000 0.5000  8 Ba 3.49, 2 Sb 3.63, 2 Ir 3.65
Ir 0.5000 0.5000 0.0000  8 Ba 3.32, 2 Ir 3.63, 2 Sb 3.65

[11]
Compound: RbLiHfBr2
Source: the Alexandria database
Functional: GGA-PBEsol
Structure: optimized geometry

Results
M_tot   2.0 Bohr magnetons per cell
ΔE_f (raw)   598 meV/atom
DOS(E_F)   3.54 states/eV/cell
Raw total energy   -14.2 eV per cell

Cell lengths 5.4774, 5.9409, 5.9409 Å; angles 90.00, 90.00, 90.00 degrees
Last column: nearest neighbours and their distance in Å.
Fractional positions:
Hf 0.5000 0.5000 0.5000  8 Br 4.04, 4 Li 4.20
Br 0.0000 0.0000 0.5000  2 Rb 2.97
Br 0.0000 0.5000 0.0000  2 Rb 2.97
Rb 0.0000 0.0000 0.0000  2 Li 2.74, 4 Br 2.97
Li 0.5000 0.0000 0.0000  2 Rb 2.74

[12]
Compound: CaFeF6
Source: the Alexandria database
Functional: GGA-PBEsol
Structure: optimized geometry

Results
M_tot   2.0 Bohr magnetons per cell
ΔE_f (raw)   -2678 meV/atom
DOS(E_F)   7.95 states/eV/cell
Raw total energy   -44.1 eV per cell

Cell lengths 5.1434, 5.1419, 5.5376 Å; angles 62.33, 62.35, 60.02 degrees
Last column: nearest neighbours and their distance in Å.
Fractional positions:
Fe 0.0000 0.0000 0.0000  6 F 1.79
F 0.0752 0.3579 0.7775  1 Fe 1.79
F 0.7892 0.0751 0.7778  1 Fe 1.79
F 0.2108 0.9249 0.2222  1 Fe 1.79
F 0.3576 0.7893 0.7777  1 Fe 1.79
F 0.6424 0.2107 0.2223  1 Fe 1.79
F 0.9248 0.6421 0.2225  1 Fe 1.79
Ca 0.5000 0.5000 0.5000  6 F 2.26